#one
! NiS2I (PBEsol, relaxed); values from VASP
&SYSTEM
  ibrav = 0, nat = 4, ntyp = 3
/
ATOMIC_SPECIES
Ni 58.69 Ni.upf
I 126.90 I.upf
S 32.06 S.upf
ATOMIC_POSITIONS crystal
Ni 0.000 0.000 0.000
I 0.500 0.500 0.500
S 0.250 0.250 0.250
S 0.750 0.750 0.750
CELL_PARAMETERS angstrom
-3.101 1.928 -2.735
-4.401 -1.136 0.385
-2.990 2.998 1.698
! N(E_F) (states/eV per cell): 3.5
! Magnetic moment (μB per atom): 0.00
! Space group: Fm-3m (225)


#two
! NiS2I (PBEsol, relaxed); values from VASP
&SYSTEM
  ibrav = 0, nat = 4, ntyp = 3
/
ATOMIC_SPECIES
Ni 58.69 Ni.upf
I 126.90 I.upf
S 32.06 S.upf
ATOMIC_POSITIONS crystal
Ni 0.500 0.500 0.500
I 0.000 0.000 0.000
S 0.118 0.118 0.646
S 0.882 0.882 0.354
CELL_PARAMETERS angstrom
3.529 0.000 0.000
1.764 3.056 0.000
1.764 1.019 7.448
! N(E_F) (states/eV per cell): 2.2
! Magnetic moment (μB per atom): 0.00
! Space group: R-3m (166)


Winner for stability: #two


#one
! P2RuIO (PBEsol, relaxed); values from VASP
&SYSTEM
  ibrav = 0, nat = 5, ntyp = 4
/
ATOMIC_SPECIES
P 30.97 P.upf
I 126.90 I.upf
Ru 101.07 Ru.upf
O 16.00 O.upf
ATOMIC_POSITIONS crystal
P 0.000 0.000 0.500
I 0.000 0.000 0.000
P 0.000 0.500 0.000
Ru 0.500 0.000 0.000
O 0.500 0.500 0.500
CELL_PARAMETERS angstrom
-0.639 2.257 4.196
-0.900 -4.459 2.261
4.954 -0.485 1.015
! N(E_F) (states/eV per cell): 6.0
! Magnetic moment (μB per atom): 0.52
! Space group: P4/mmm (123)


#two
! P2RuIO (PBEsol, relaxed); values from VASP
&SYSTEM
  ibrav = 0, nat = 5, ntyp = 4
/
ATOMIC_SPECIES
P 30.97 P.upf
I 126.90 I.upf
O 16.00 O.upf
Ru 101.07 Ru.upf
ATOMIC_POSITIONS crystal
P 0.000 0.500 0.000
I 0.500 0.500 0.500
P 0.000 0.000 0.500
O 0.500 0.000 0.000
Ru 0.000 0.000 0.000
CELL_PARAMETERS angstrom
3.699 0.000 0.000
0.000 4.792 0.000
0.000 0.000 4.792
! N(E_F) (states/eV per cell): 4.2
! Magnetic moment (μB per atom): 0.00
! Space group: P4/mmm (123)


Winner for stability: #two


#one
! TePIO2 (PBEsol, relaxed); values from VASP
&SYSTEM
  ibrav = 0, nat = 5, ntyp = 4
/
ATOMIC_SPECIES
Te 127.60 Te.upf
P 30.97 P.upf
O 16.00 O.upf
I 126.90 I.upf
ATOMIC_POSITIONS crystal
Te 0.500 0.500 0.500
P 0.000 0.000 0.000
O 0.500 0.000 0.000
I 0.000 0.000 0.500
O 0.000 0.500 0.000
CELL_PARAMETERS angstrom
-0.765 1.583 -3.500
-3.805 0.174 0.910
0.775 5.300 2.227
! N(E_F) (states/eV per cell): 3.3
! Magnetic moment (μB per atom): 0.00
! Space group: P4/mmm (123)


#two
! TePIO2 (PBEsol, relaxed); values from VASP
&SYSTEM
  ibrav = 0, nat = 5, ntyp = 4
/
ATOMIC_SPECIES
O 16.00 O.upf
P 30.97 P.upf
I 126.90 I.upf
Te 127.60 Te.upf
ATOMIC_POSITIONS crystal
O 0.500 0.000 0.000
O 0.000 0.500 0.000
P 0.500 0.500 0.500
I 0.000 0.000 0.500
Te 0.000 0.000 0.000
CELL_PARAMETERS angstrom
-1.488 -2.720 -2.462
1.534 -2.875 2.249
-5.571 -0.181 3.568
! N(E_F) (states/eV per cell): 4.0
! Magnetic moment (μB per atom): 0.00
! Space group: P4/mmm (123)


Winner for stability: #two


#one
! PbI2O6 (PBEsol, relaxed); values from VASP
&SYSTEM
  ibrav = 0, nat = 36, ntyp = 3
/
ATOMIC_SPECIES
O 16.00 O.upf
Pb 207.20 Pb.upf
I 126.90 I.upf
ATOMIC_POSITIONS crystal
O 0.087 0.052 0.332
O 0.725 0.949 0.478
Pb 0.027 0.664 0.368
I 0.662 0.870 0.114
O 0.085 0.547 0.167
O 0.307 0.581 0.749
O 0.584 0.374 0.590
I 0.348 0.520 0.116
O 0.322 0.785 0.145
I 0.651 0.977 0.615
I 0.652 0.480 0.884
O 0.143 0.044 0.943
I 0.349 0.023 0.385
O 0.416 0.626 0.410
O 0.326 0.288 0.355
I 0.662 0.373 0.387
O 0.915 0.453 0.833
Pb 0.975 0.837 0.868
O 0.724 0.450 0.022
O 0.308 0.084 0.752
O 0.585 0.876 0.910
I 0.338 0.627 0.613
O 0.693 0.419 0.251
O 0.142 0.543 0.558
O 0.857 0.956 0.057
O 0.275 0.051 0.522
O 0.415 0.124 0.090
O 0.858 0.457 0.442
O 0.678 0.215 0.855
Pb 0.025 0.163 0.132
Pb 0.973 0.336 0.632
I 0.338 0.130 0.886
O 0.674 0.712 0.645
O 0.692 0.916 0.248
O 0.913 0.948 0.668
O 0.276 0.550 0.978
CELL_PARAMETERS angstrom
-5.312 -4.280 0.250
0.944 -6.313 -2.993
4.334 -4.829 11.328
! N(E_F) (states/eV per cell): 0.0
! Magnetic moment (μB per atom): 0.00
! Space group: P-1 (2)


#two
! PbI2O6 (PBEsol, relaxed); values from VASP
&SYSTEM
  ibrav = 0, nat = 36, ntyp = 3
/
ATOMIC_SPECIES
O 16.00 O.upf
Pb 207.20 Pb.upf
I 126.90 I.upf
ATOMIC_POSITIONS crystal
O 0.914 0.068 0.886
O 0.491 0.356 0.210
O 0.086 0.932 0.114
Pb 0.752 0.250 0.500
O 0.104 0.104 0.430
Pb 0.252 0.250 0.000
O 0.396 0.896 0.930
I 0.252 0.803 0.836
I 0.748 0.303 0.836
I 0.248 0.197 0.336
O 0.009 0.856 0.290
O 0.896 0.896 0.570
O 0.586 0.932 0.386
O 0.509 0.856 0.210
Pb 0.748 0.750 0.000
O 0.586 0.568 0.614
O 0.414 0.068 0.614
O 0.396 0.604 0.070
O 0.491 0.144 0.790
O 0.509 0.644 0.790
O 0.104 0.396 0.570
O 0.414 0.432 0.386
I 0.752 0.697 0.336
I 0.248 0.303 0.664
O 0.604 0.104 0.070
O 0.991 0.144 0.710
I 0.252 0.697 0.164
I 0.748 0.197 0.164
O 0.009 0.644 0.710
Pb 0.248 0.750 0.500
O 0.086 0.568 0.886
O 0.604 0.396 0.930
I 0.752 0.803 0.664
O 0.914 0.432 0.114
O 0.896 0.604 0.430
O 0.991 0.356 0.290
CELL_PARAMETERS angstrom
-0.692 3.390 4.209
-2.968 -4.233 2.921
14.366 -5.428 6.733
! N(E_F) (states/eV per cell): 0.0
! Magnetic moment (μB per atom): 0.00
! Space group: Pbcn (60)


Winner for stability: #two


#one
! SbPdIO2 (PBEsol, relaxed); values from VASP
&SYSTEM
  ibrav = 0, nat = 5, ntyp = 4
/
ATOMIC_SPECIES
Sb 121.76 Sb.upf
I 126.90 I.upf
O 16.00 O.upf
Pd 106.42 Pd.upf
ATOMIC_POSITIONS crystal
Sb 0.000 0.000 0.000
I 0.000 0.000 0.500
O 0.000 0.500 0.000
O 0.500 0.000 0.000
Pd 0.500 0.500 0.500
CELL_PARAMETERS angstrom
3.906 0.000 0.000
0.000 3.906 0.000
0.000 0.000 6.398
! N(E_F) (states/eV per cell): 1.1
! Magnetic moment (μB per atom): 0.00
! Space group: P4/mmm (123)


#two
! SbPdIO2 (PBEsol, relaxed); values from VASP
&SYSTEM
  ibrav = 0, nat = 5, ntyp = 4
/
ATOMIC_SPECIES
I 126.90 I.upf
Sb 121.76 Sb.upf
Pd 106.42 Pd.upf
O 16.00 O.upf
ATOMIC_POSITIONS crystal
I 0.000 0.000 0.500
Sb 0.500 0.500 0.500
Pd 0.000 0.000 0.000
O 0.500 0.000 0.000
O 0.000 0.500 0.000
CELL_PARAMETERS angstrom
-3.007 2.313 -1.794
-2.121 -3.495 -0.951
-2.418 0.270 4.401
! N(E_F) (states/eV per cell): 3.0
! Magnetic moment (μB per atom): 0.00
! Space group: P4/mmm (123)


Winner for stability: #one


#one
! RhI2O2 (PBEsol, relaxed); values from VASP
&SYSTEM
  ibrav = 0, nat = 5, ntyp = 3
/
ATOMIC_SPECIES
I 126.90 I.upf
Rh 102.91 Rh.upf
O 16.00 O.upf
ATOMIC_POSITIONS crystal
I 0.000 0.500 0.000
Rh 0.500 0.500 0.500
I 0.000 0.000 0.500
O 0.000 0.000 0.000
O 0.500 0.000 0.000
CELL_PARAMETERS angstrom
-0.086 -1.350 3.305
1.081 -4.299 -1.727
4.632 0.959 0.512
! N(E_F) (states/eV per cell): 3.7
! Magnetic moment (μB per atom): 0.00
! Space group: P4/mmm (123)


#two
! RhI2O2 (PBEsol, relaxed); values from VASP
&SYSTEM
  ibrav = 0, nat = 5, ntyp = 3
/
ATOMIC_SPECIES
O 16.00 O.upf
I 126.90 I.upf
Rh 102.91 Rh.upf
ATOMIC_POSITIONS crystal
O 0.500 0.500 0.500
I 0.000 0.000 0.500
Rh 0.000 0.000 0.000
I 0.000 0.500 0.000
O 0.500 0.000 0.000
CELL_PARAMETERS angstrom
-2.466 1.153 -2.399
-0.497 -5.059 -1.920
-3.954 -0.976 3.596
! N(E_F) (states/eV per cell): 4.4
! Magnetic moment (μB per atom): 0.47
! Space group: P4/mmm (123)


Winner for stability: #two


#one
! Sb5IO7 (PBEsol, relaxed); values from VASP
&SYSTEM
  ibrav = 0, nat = 52, ntyp = 3
/
ATOMIC_SPECIES
O 16.00 O.upf
I 126.90 I.upf
Sb 121.76 Sb.upf
ATOMIC_POSITIONS crystal
O 0.873 0.477 0.176
I 0.319 0.734 0.498
Sb 0.938 0.117 0.735
Sb 0.256 0.048 0.464
O 0.493 0.530 0.902
O 0.127 0.523 0.824
Sb 0.416 0.265 0.751
Sb 0.084 0.235 0.251
Sb 0.098 0.549 0.260
O 0.373 0.977 0.324
Sb 0.062 0.883 0.265
Sb 0.244 0.068 0.050
O 0.948 0.971 0.825
O 0.754 0.607 0.748
Sb 0.916 0.765 0.749
O 0.246 0.393 0.252
O 0.478 0.981 0.109
Sb 0.562 0.383 0.235
Sb 0.744 0.568 0.450
O 0.007 0.970 0.402
O 0.448 0.471 0.675
Sb 0.598 0.049 0.240
O 0.552 0.529 0.325
O 0.522 0.019 0.891
Sb 0.438 0.617 0.765
Sb 0.756 0.548 0.036
O 0.627 0.023 0.676
Sb 0.402 0.951 0.760
O 0.746 0.893 0.248
O 0.288 0.302 0.889
Sb 0.244 0.452 0.964
O 0.677 0.804 0.843
O 0.712 0.698 0.111
O 0.788 0.802 0.611
Sb 0.902 0.451 0.740
I 0.181 0.766 0.998
O 0.212 0.198 0.389
Sb 0.756 0.932 0.950
O 0.254 0.107 0.752
O 0.177 0.304 0.657
O 0.507 0.470 0.098
O 0.823 0.696 0.343
O 0.323 0.196 0.157
I 0.681 0.266 0.502
Sb 0.256 0.432 0.550
O 0.022 0.519 0.609
O 0.978 0.481 0.391
I 0.819 0.234 0.002
Sb 0.584 0.735 0.249
O 0.993 0.030 0.598
O 0.052 0.029 0.175
Sb 0.744 0.952 0.536
CELL_PARAMETERS angstrom
-3.377 4.214 -3.934
-7.577 1.414 8.416
6.732 9.555 4.455
! N(E_F) (states/eV per cell): 0.0
! Magnetic moment (μB per atom): 0.00
! Space group: P2_1/c (14)


#two
! Sb5IO7 (PBEsol, relaxed); values from VASP
&SYSTEM
  ibrav = 0, nat = 26, ntyp = 3
/
ATOMIC_SPECIES
O 16.00 O.upf
Sb 121.76 Sb.upf
I 126.90 I.upf
ATOMIC_POSITIONS crystal
O 0.559 0.055 0.637
Sb 0.353 0.033 0.250
Sb 0.033 0.353 0.750
Sb 0.667 0.333 0.958
O 0.504 0.945 0.137
O 0.055 0.559 0.363
O 0.496 0.441 0.637
O 0.055 0.559 0.137
O 0.945 0.504 0.637
Sb 0.647 0.680 0.750
O 0.333 0.667 0.750
O 0.441 0.496 0.363
O 0.945 0.504 0.863
Sb 0.333 0.667 0.042
Sb 0.680 0.647 0.250
Sb 0.320 0.967 0.750
Sb 0.333 0.667 0.458
Sb 0.667 0.333 0.542
I 0.000 0.000 0.000
I 0.000 0.000 0.500
O 0.496 0.441 0.863
O 0.667 0.333 0.250
Sb 0.967 0.320 0.250
O 0.504 0.945 0.363
O 0.441 0.496 0.137
O 0.559 0.055 0.863
CELL_PARAMETERS angstrom
6.713 0.000 0.000
-3.357 5.814 0.000
0.000 0.000 12.380
! N(E_F) (states/eV per cell): 0.0
! Magnetic moment (μB per atom): 0.00
! Space group: P-62c (190)


Winner for stability: #one


#one
! TcIO2 (PBEsol, relaxed); values from VASP
&SYSTEM
  ibrav = 0, nat = 4, ntyp = 3
/
ATOMIC_SPECIES
Tc 98.00 Tc.upf
O 16.00 O.upf
I 126.90 I.upf
ATOMIC_POSITIONS crystal
Tc 0.000 0.000 0.000
O 0.066 0.066 0.802
O 0.934 0.934 0.198
I 0.500 0.500 0.500
CELL_PARAMETERS angstrom
-0.591 2.589 1.474
-1.598 -0.054 2.583
6.658 -0.059 5.904
! N(E_F) (states/eV per cell): 3.2
! Magnetic moment (μB per atom): 0.00
! Space group: R-3m (166)


#two
! TcIO2 (PBEsol, relaxed); values from VASP
&SYSTEM
  ibrav = 0, nat = 8, ntyp = 3
/
ATOMIC_SPECIES
I 126.90 I.upf
Tc 98.00 Tc.upf
O 16.00 O.upf
ATOMIC_POSITIONS crystal
I 0.500 0.500 0.500
Tc 0.250 0.250 0.250
O 0.625 0.125 0.125
Tc 0.000 0.000 0.000
O 0.125 0.125 0.125
I 0.750 0.750 0.750
O 0.125 0.625 0.125
O 0.125 0.125 0.625
CELL_PARAMETERS angstrom
-2.052 -5.430 1.280
2.115 -4.737 -2.902
3.482 -3.904 2.823
! N(E_F) (states/eV per cell): 10.3
! Magnetic moment (μB per atom): 0.00
! Space group: Fd-3m (227)


Winner for stability: #two


#one
! TeI2O2 (PBEsol, relaxed); values from VASP
&SYSTEM
  ibrav = 0, nat = 5, ntyp = 3
/
ATOMIC_SPECIES
I 126.90 I.upf
O 16.00 O.upf
Te 127.60 Te.upf
ATOMIC_POSITIONS crystal
I 0.000 0.000 0.500
O 0.000 0.000 0.000
Te 0.500 0.500 0.500
O 0.500 0.000 0.000
I 0.000 0.500 0.000
CELL_PARAMETERS angstrom
4.087 0.000 0.000
0.000 4.901 0.000
0.000 0.000 4.901
! N(E_F) (states/eV per cell): 3.5
! Magnetic moment (μB per atom): 0.03
! Space group: P4/mmm (123)


#two
! TeI2O2 (PBEsol, relaxed); values from VASP
&SYSTEM
  ibrav = 0, nat = 5, ntyp = 3
/
ATOMIC_SPECIES
I 126.90 I.upf
O 16.00 O.upf
Te 127.60 Te.upf
ATOMIC_POSITIONS crystal
I 0.000 0.000 0.500
O 0.500 0.000 0.000
I 0.000 0.500 0.000
Te 0.000 0.000 0.000
O 0.500 0.500 0.500
CELL_PARAMETERS angstrom
-0.941 2.215 -3.189
-2.258 -4.748 -2.631
-5.248 1.183 2.370
! N(E_F) (states/eV per cell): 4.2
! Magnetic moment (μB per atom): 0.43
! Space group: P4/mmm (123)


Winner for stability: #two